[1]
This record from the Alexandria database describes a relaxed structure of Tm3Zn2Au. The functional is PBE.

Calculated values
- D(E_F) (states/eV/f.u.) = 4.3
- DFT formation energy (meV per atom) = -541.4
- calculated volume (Å³ per atom) = 21.95
- ΔE to the lowest computed polymorph (meV per atom) = 0.0

POSCAR file:
```
Tm3Zn2Au
1.0
3.544 0.000 0.000
0.000 3.544 0.000
0.000 0.000 10.487
Tm Zn Au
3 2 1
Cartesian
0.000 0.000 0.000
0.000 0.000 3.480
0.000 0.000 7.007
1.772 1.772 1.689
1.772 1.772 8.798
1.772 1.772 5.244
```

***

[2]
This record from the Alexandria database describes a relaxed structure of Tm4Zn3Au. The functional is PBE.

Calculated values
- D(E_F) (states/eV/f.u.) = 8.6
- DFT formation energy (meV per atom) = -447.1
- calculated volume (Å³ per atom) = 22.71
- ΔE to the lowest computed polymorph (meV per atom) = 46.5

POSCAR file:
```
Tm4Zn3Au
1.0
3.680 0.000 0.000
0.000 4.496 0.000
0.000 0.000 10.980
Tm Zn Au
4 3 1
Cartesian
0.000 0.000 0.000
0.000 2.248 3.228
1.840 0.000 5.455
1.840 2.248 8.763
0.000 0.000 7.906
0.000 2.248 6.313
1.840 2.248 0.753
1.840 0.000 2.467
```

***

[3]
This record from the Alexandria database describes a relaxed structure of Tm3Zn3Au2. The functional is PBE.

Calculated values
- D(E_F) (states/eV/f.u.) = 7.1
- DFT formation energy (meV per atom) = -542.8
- calculated volume (Å³ per atom) = 21.55

POSCAR file:
```
Tm3Zn3Au2
1.0
7.233 0.000 0.000
-3.617 6.264 0.000
0.000 0.000 3.804
Tm Zn Au
3 3 2
Cartesian
-2.179 3.774 0.000
1.438 2.490 0.000
4.358 0.000 0.000
-0.800 1.386 1.902
1.600 0.000 1.902
2.817 4.878 1.902
0.000 4.176 1.902
3.617 2.088 1.902
```

***

[4]
This record from the Alexandria database describes a relaxed structure of TmZn3Au3. The functional is PBE.

Calculated values
- D(E_F) (states/eV/f.u.) = 2.8
- DFT formation energy (meV per atom) = -401.0
- calculated volume (Å³ per atom) = 17.86
- ΔE to the lowest computed polymorph (meV per atom) = 2.8

POSCAR file:
```
TmZn3Au3
1.0
7.702 0.000 0.000
-3.851 6.671 0.000
0.000 0.000 4.864
Tm Zn Au
2 6 6
Cartesian
0.000 4.447 1.216
3.851 2.224 3.648
-2.903 5.393 1.216
0.633 1.460 1.216
1.581 0.182 3.648
2.271 6.489 1.216
3.218 5.211 3.648
6.755 1.278 3.648
-1.776 4.244 3.648
1.064 3.010 3.648
3.139 0.583 1.216
0.712 6.087 3.648
2.787 3.660 1.216
5.628 2.427 1.216
```

***

[5]
This record from the Alexandria database describes a relaxed structure of Tm2Zn5Au4. The functional is PBE.

Calculated values
- D(E_F) (states/eV/f.u.) = 3.2
- DFT formation energy (meV per atom) = -471.3
- calculated volume (Å³ per atom) = 19.12

POSCAR file:
```
Tm2Zn5Au4
1.0
0.000 4.490 8.807
2.659 0.000 8.807
2.659 4.490 0.000
Tm Zn Au
2 5 4
Cartesian
2.659 4.490 2.139
2.659 4.490 15.474
1.330 2.245 0.000
1.330 2.245 4.403
1.330 2.245 8.807
2.659 4.490 8.807
3.989 6.735 13.210
2.659 3.039 6.517
2.659 3.039 11.097
2.659 5.941 6.517
2.659 5.941 11.097
```

***

[6]
This record from the Alexandria database describes a relaxed structure of Tm4Zn2Au. The functional is PBE.

Calculated values
- D(E_F) (states/eV/f.u.) = 6.9
- DFT formation energy (meV per atom) = -340.0
- calculated volume (Å³ per atom) = 24.36

POSCAR file:
```
Tm4Zn2Au
1.0
2.478 1.431 8.015
-2.478 1.431 8.015
0.000 -2.862 8.015
Tm Zn Au
4 2 1
Cartesian
0.000 0.000 2.937
0.000 0.000 8.980
0.000 0.000 15.066
0.000 0.000 21.108
0.000 0.000 6.056
0.000 0.000 17.990
0.000 0.000 12.023
```

***

[7]
This record from the Alexandria database describes a relaxed structure of Tm11Zn9Au4. The functional is PBE.

Calculated values
- D(E_F) (states/eV/f.u.) = 15.3
- DFT formation energy (meV per atom) = -504.8
- calculated volume (Å³ per atom) = 21.93

POSCAR file:
```
Tm11Zn9Au4
1.0
7.006 -10.455 0.000
7.006 10.455 0.000
0.000 0.000 3.593
Tm Zn Au
11 9 4
Cartesian
0.000 0.000 0.000
3.393 3.578 0.000
7.006 6.901 0.000
3.638 0.000 0.000
7.006 3.137 0.000
3.393 -3.578 0.000
10.618 3.578 0.000
7.006 -3.137 0.000
10.373 0.000 0.000
7.006 -6.901 0.000
10.618 -3.578 0.000
1.737 1.699 1.797
5.415 5.084 1.797
1.737 -1.699 1.797
8.596 5.084 1.797
7.006 0.000 1.797
5.415 -5.084 1.797
12.274 1.699 1.797
8.596 -5.084 1.797
12.274 -1.699 1.797
4.977 1.934 1.797
4.977 -1.934 1.797
9.035 1.934 1.797
9.035 -1.934 1.797
```

***

[8]
This record from the Alexandria database describes a relaxed structure of Tm3ZnAu2. The functional is PBE.

Calculated values
- D(E_F) (states/eV/f.u.) = 3.9
- DFT formation energy (meV per atom) = -714.5
- calculated volume (Å³ per atom) = 22.28

POSCAR file:
```
Tm3ZnAu2
1.0
5.012 0.000 0.000
-2.506 4.340 0.000
0.000 0.000 12.289
Tm Zn Au
6 2 4
Cartesian
0.000 0.000 3.057
0.000 0.000 9.232
0.000 2.894 5.153
0.000 2.894 11.291
2.506 1.447 0.998
2.506 1.447 7.136
0.000 2.894 8.233
2.506 1.447 4.056
0.000 0.000 0.000
0.000 0.000 6.144
0.000 2.894 2.212
2.506 1.447 10.077
```

***

[9]
This record from the Alexandria database describes a relaxed structure of Tm3Zn9Au2. The functional is PBE.

Calculated values
- D(E_F) (states/eV/f.u.) = 6.5
- DFT formation energy (meV per atom) = -392.2
- calculated volume (Å³ per atom) = 17.95

POSCAR file:
```
Tm3Zn9Au2
1.0
-2.161 4.459 6.519
2.161 -4.459 6.519
2.161 4.459 -6.519
Tm Zn Au
3 9 2
Cartesian
0.000 0.000 0.000
0.000 0.000 3.949
0.000 0.000 9.088
2.161 -1.229 2.225
2.161 -1.971 4.749
2.161 1.229 2.225
0.000 2.488 1.769
0.000 4.459 0.000
2.161 1.971 4.749
0.000 3.230 4.294
0.000 6.430 1.769
0.000 5.687 4.294
2.161 2.669 0.000
0.000 1.790 6.519
```

***

[10]
This record from the Alexandria database describes a relaxed structure of Tm2ZnAu2. The functional is PBE.

Calculated values
- D(E_F) (states/eV/f.u.) = 3.4
- DFT formation energy (meV per atom) = -643.9
- calculated volume (Å³ per atom) = 21.81

POSCAR file:
```
Tm2ZnAu2
1.0
1.930 -8.799 0.000
1.930 8.799 0.000
0.000 0.000 6.421
Tm Zn Au
4 2 4
Cartesian
1.930 8.745 3.210
1.930 5.126 5.914
1.930 -5.126 2.703
1.930 -8.745 0.000
1.930 1.886 4.608
1.930 -1.886 1.397
1.930 5.794 2.933
1.930 1.572 1.745
1.930 -1.572 4.955
1.930 -5.794 6.143
```